Entry 1:
Entry from Alexandria via LeMat-Bulk: an optimized crystal structure of Al2SiHg (PBE-GGA).

Lattice parameters (Å, degrees): 3.861 3.861 6.641 73.40 73.40 60.03
Sites, in units of the cell vectors:
Al  0.518  0.518  0.450
Al  0.982  0.982  0.050
Si  0.250  0.250  0.250
Hg  0.750  0.750  0.750

polymorph energy (0 for the lowest one) = 0.069 kcal/mol of atoms
ΔE_f (raw) = 0.1767 eV per atom
SG = C2/m, No. 12

=====

Entry 2:
Entry from Alexandria via LeMat-Bulk: an optimized crystal structure of LiMnAl2 (PBE-GGA).

Lattice parameters (Å, degrees): 2.785 2.785 7.999 90.00 90.00 90.01
Sites, in units of the cell vectors:
Mn  0.500  0.500  0.770
Al  0.500  0.500  0.243
Li  0.000  0.000  0.505
Al  0.000  0.000  0.983

SG = P4mm, No. 99
calculated formation energy = 0.021 eV/atom